# CaEuEr2 | Alexandria via LeMat-Bulk | PBE-GGA | optimized geometry
# - Spin magnetization: 7.51 μB per formula unit
# - Offset from the most stable computed form: 0 meV per atom
# - Formation energy from the elements: 160 meV per atom
data_CaEuEr2
_cell_length_a 3.637
_cell_length_b 3.637
_cell_length_c 10.529
_cell_angle_alpha 90.00
_cell_angle_beta 90.00
_cell_angle_gamma 90.00
_symmetry_space_group_name_H-M 'P 4/m m m'
_symmetry_Int_Tables_number 123
_symmetry_space_group_name_Hall '-P 4 2'
loop_
_atom_site_label
_atom_site_type_symbol
_atom_site_fract_x
_atom_site_fract_y
_atom_site_fract_z
Ca1 Ca 0.000 0.000 0.000
Eu1 Eu 0.000 0.000 0.500
Er1 Er 0.500 0.500 0.257

***

# CaEuEr2 | Alexandria via LeMat-Bulk | PBE-GGA | optimized geometry
# - Spin magnetization: 7.39 μB per formula unit
# - Offset from the most stable computed form: 28 meV per atom
# - Formation energy from the elements: 188 meV per atom
data_CaEuEr2
_cell_length_a 8.215
_cell_length_b 8.215
_cell_length_c 8.215
_cell_angle_alpha 90.00
_cell_angle_beta 90.00
_cell_angle_gamma 90.00
_symmetry_space_group_name_H-M 'F m -3 m'
_symmetry_Int_Tables_number 225
_symmetry_space_group_name_Hall '-F 4 2 3'
loop_
_atom_site_label
_atom_site_type_symbol
_atom_site_fract_x
_atom_site_fract_y
_atom_site_fract_z
Ca1 Ca 0.000 0.000 0.000
Eu1 Eu 0.000 0.000 0.500
Er1 Er 0.250 0.250 0.250

***

# CaEu2Er | Alexandria via LeMat-Bulk | PBE-GGA | optimized geometry
# - Spin magnetization: 14.54 μB per formula unit
# - Offset from the most stable computed form: 25 meV per atom
# - Formation energy from the elements: 97 meV per atom
data_CaEu2Er
_cell_length_a 4.127
_cell_length_b 4.127
_cell_length_c 9.034
_cell_angle_alpha 90.00
_cell_angle_beta 90.00
_cell_angle_gamma 90.00
_symmetry_space_group_name_H-M 'P 4/m m m'
_symmetry_Int_Tables_number 123
_symmetry_space_group_name_Hall '-P 4 2'
loop_
_atom_site_label
_atom_site_type_symbol
_atom_site_fract_x
_atom_site_fract_y
_atom_site_fract_z
Ca1 Ca 0.000 0.000 0.000
Eu1 Eu 0.500 0.500 0.272
Er1 Er 0.000 0.000 0.500

***

# CaEuGdEr | Alexandria via LeMat-Bulk | PBE-GGA | optimized geometry
# - Spin magnetization: 0.29 μB per formula unit
# - Formation energy from the elements: 141 meV per atom
data_CaEuGdEr
_cell_length_a 8.275
_cell_length_b 8.275
_cell_length_c 8.275
_cell_angle_alpha 90.00
_cell_angle_beta 90.00
_cell_angle_gamma 90.00
_symmetry_space_group_name_H-M 'F -4 3 m'
_symmetry_Int_Tables_number 216
_symmetry_space_group_name_Hall 'F -4 2 3'
loop_
_atom_site_label
_atom_site_type_symbol
_atom_site_fract_x
_atom_site_fract_y
_atom_site_fract_z
Ca1 Ca 0.000 0.000 0.000
Eu1 Eu 0.250 0.250 0.250
Gd1 Gd 0.250 0.250 0.750
Er1 Er 0.000 0.000 0.500

***

# CaEuHoEr | Alexandria via LeMat-Bulk | PBE-GGA | optimized geometry
# - Spin magnetization: 7.42 μB per formula unit
# - Formation energy from the elements: 160 meV per atom
data_CaEuHoEr
_cell_length_a 8.232
_cell_length_b 8.232
_cell_length_c 8.232
_cell_angle_alpha 90.00
_cell_angle_beta 90.00
_cell_angle_gamma 90.00
_symmetry_space_group_name_H-M 'F -4 3 m'
_symmetry_Int_Tables_number 216
_symmetry_space_group_name_Hall 'F -4 2 3'
loop_
_atom_site_label
_atom_site_type_symbol
_atom_site_fract_x
_atom_site_fract_y
_atom_site_fract_z
Ca1 Ca 0.000 0.000 0.000
Eu1 Eu 0.250 0.250 0.250
Ho1 Ho 0.250 0.250 0.750
Er1 Er 0.000 0.000 0.500

***

# CaLaEuEr | Alexandria via LeMat-Bulk | PBE-GGA | optimized geometry
# - Spin magnetization: 7.29 μB per formula unit
# - Formation energy from the elements: 133 meV per atom
data_CaLaEuEr
_cell_length_a 8.422
_cell_length_b 8.422
_cell_length_c 8.422
_cell_angle_alpha 90.00
_cell_angle_beta 90.00
_cell_angle_gamma 90.00
_symmetry_space_group_name_H-M 'F -4 3 m'
_symmetry_Int_Tables_number 216
_symmetry_space_group_name_Hall 'F -4 2 3'
loop_
_atom_site_label
_atom_site_type_symbol
_atom_site_fract_x
_atom_site_fract_y
_atom_site_fract_z
Ca1 Ca 0.000 0.000 0.000
La1 La 0.250 0.250 0.250
Eu1 Eu 0.250 0.250 0.750
Er1 Er 0.000 0.000 0.500